1.
{"formula": "Na3InPb3", "functional": "PBE-GGA", "state": "relaxed", "cell": [[4.4629, -7.3524, 0.0000], [4.4629, 7.3524, 0.0000], [-2.3942, 0.0000, 7.1122]], "species": ["Na", "Na", "Na", "Na", "Na", "Na", "In", "In", "Pb", "Pb", "Pb", "Pb", "Pb", "Pb"], "frac_coords": [[0.1251, 0.8749, 0.0000], [0.2355, 0.7645, 0.5000], [0.4545, 0.4545, 0.2301], [0.5455, 0.5455, 0.7699], [0.7645, 0.2355, 0.5000], [0.8749, 0.1251, 0.0000], [0.1950, 0.1950, 0.8264], [0.8050, 0.8050, 0.1736], [0.1338, 0.5129, 0.8576], [0.1543, 0.1543, 0.4118], [0.4871, 0.8662, 0.1424], [0.5129, 0.1338, 0.8576], [0.8457, 0.8457, 0.5882], [0.8662, 0.4871, 0.1424]], "n_ef_per_ev_cell": 5.1, "relative_energy_mev_per_atom": 62, "e_form_ev_per_atom": -0.031, "crystal_system": "monoclinic", "spacegroup": "C2/m (12)"}

2.
{"formula": "MnCrP2Cl", "functional": "PBE-GGA", "state": "relaxed", "cell": [[4.4229, 0.0000, 0.0000], [0.0000, 4.4229, 0.0000], [0.0000, 0.0000, 4.8746]], "species": ["Mn", "Cr", "P", "P", "Cl"], "frac_coords": [[0.0000, 0.0000, 0.0000], [0.5000, 0.5000, 0.5000], [0.0000, 0.5000, 0.0000], [0.5000, 0.0000, 0.0000], [0.0000, 0.0000, 0.5000]], "n_ef_per_ev_cell": 5.9, "formation_energy_uncorrected_mev_per_atom": 895, "relative_energy_mev_per_atom": 495, "crystal_system": "tetragonal", "spacegroup": "P4/mmm (123)"}

3.
{"formula": "BeCrN2", "functional": "PBE-GGA", "state": "relaxed", "cell": [[2.8356, 0.0000, 0.0000], [-1.4178, 2.4557, 0.0000], [0.0000, 0.0000, 15.7992]], "species": ["Be", "Be", "Be", "Cr", "Cr", "Cr", "N", "N", "N", "N", "N", "N"], "frac_coords": [[0.0000, 0.0000, 0.0000], [0.3333, 0.6667, 0.6667], [0.6667, 0.3333, 0.3333], [0.0000, 0.0000, 0.5000], [0.3333, 0.6667, 0.1667], [0.6667, 0.3333, 0.8333], [0.0000, 0.0000, 0.3898], [0.0000, 0.0000, 0.6102], [0.3333, 0.6667, 0.0564], [0.3333, 0.6667, 0.2769], [0.6667, 0.3333, 0.7231], [0.6667, 0.3333, 0.9436]], "n_ef_per_ev_cell": 8.6, "formation_energy_uncorrected_mev_per_atom": 473, "crystal_system": "trigonal", "spacegroup": "R-3m (166)"}

Repeat the second record exactly.
{"formula": "MnCrP2Cl", "functional": "PBE-GGA", "state": "relaxed", "cell": [[4.4229, 0.0000, 0.0000], [0.0000, 4.4229, 0.0000], [0.0000, 0.0000, 4.8746]], "species": ["Mn", "Cr", "P", "P", "Cl"], "frac_coords": [[0.0000, 0.0000, 0.0000], [0.5000, 0.5000, 0.5000], [0.0000, 0.5000, 0.0000], [0.5000, 0.0000, 0.0000], [0.0000, 0.0000, 0.5000]], "n_ef_per_ev_cell": 5.9, "formation_energy_uncorrected_mev_per_atom": 895, "relative_energy_mev_per_atom": 495, "crystal_system": "tetragonal", "spacegroup": "P4/mmm (123)"}